DyGe2Pd8 | Alexandria via LeMat-Bulk | GGA-PBE | relaxed; energy relative to the elements = -0.543 eV per atom; final energy = -5.5779 eV/atom; total magnetic moment = 0.00 μB per atom
1.0
-1.726 3.342 2.558
0.903 -4.703 4.810
5.839 2.933 -1.837
Pd Ge Dy
8 2 1
Cartesian
1.254 -1.154 4.454 Pd
3.236 0.638 5.555 Pd
4.487 2.574 3.870 Pd
3.571 -0.022 2.626 Pd
1.780 0.934 -0.023 Pd
0.529 -1.001 1.661 Pd
1.445 1.595 2.905 Pd
3.762 2.726 1.077 Pd
4.259 0.488 0.291 Ge
2.483 -2.258 2.682 Ge
-0.863 1.671 1.279 Dy

Ac4Sb2AsSe | Alexandria via LeMat-Bulk | GGA-PBE | relaxed; final energy = -5.5707 eV/atom; formation energy (no corrections) = -1.4691 eV per atom; total magnetic moment = 0.00 μB per atom
1.0
-4.626 0.554 -0.159
-0.583 -6.306 -5.000
-0.567 -2.554 7.620
As Ac Se Sb
1 4 1 2
Cartesian
0.000 0.000 0.000 As
-0.575 -3.504 4.538 Ac
-0.575 -5.355 -1.918 Ac
-2.589 -1.859 0.525 Ac
-3.187 -6.448 1.936 Ac
-2.604 -2.876 -2.579 Se
-2.597 -1.000 3.730 Sb
-0.575 -4.430 1.310 Sb

La3TbNd6Er2 | Alexandria via LeMat-Bulk | GGA-PBE | relaxed; energy relative to the elements = 0.020 eV per atom; final energy = -4.7419 eV/atom; total magnetic moment = 0.00 μB per atom
1.0
-1.892 0.796 -6.007
-2.855 -4.306 3.688
-6.250 9.423 4.337
La Nd Tb Er
3 6 1 2
Cartesian
-5.499 2.956 1.009 La
-5.819 1.257 4.239 La
-5.178 4.655 -2.220 La
-8.137 5.341 -0.080 Nd
-8.458 3.638 3.157 Nd
-2.860 0.571 2.099 Nd
-5.927 6.243 2.696 Nd
-2.539 2.274 -1.138 Nd
-5.070 -0.331 -0.677 Nd
0.000 0.000 0.000 Tb
-2.534 -2.606 0.457 Er
-2.213 -0.905 -2.775 Er

Computed values of calculated density (unit: g cm⁻³) for the preceding records, in sequence: 10.4 7.6 7.1.